The following is a DFT calculation (PBE-GGA) of crystalline Nd2AsPd6 at its relaxed geometry.

abc: 5.7482 5.7482 6.1139
angles: 101.46 101.46 60.65
Closest atoms and distances in Å follow each position.
Fractional positions:
Nd1 0.1414 0.1414 0.3344  9 Pd 3.01-3.28
Nd2 0.8586 0.8586 0.6656  9 Pd 3.01-3.28
As1 0.5000 0.5000 0.5000  6 Pd 2.47-2.56
Pd1 0.1079 0.6265 0.1844  1 As 2.56, 4 Pd 2.78-2.84
Pd2 0.3734 0.3734 0.8036  1 As 2.47
Pd3 0.3735 0.8921 0.8156  1 As 2.56, 4 Pd 2.78-2.84
Pd4 0.6265 0.1079 0.1844  1 As 2.56, 4 Pd 2.78-2.84
Pd5 0.6266 0.6266 0.1964  1 As 2.47
Pd6 0.8921 0.3735 0.8156  1 As 2.56, 4 Pd 2.78-2.84

- ΔH_f (0 K): -0.746 eV/atom
- Energy: -52.053 eV/cell
- DOS(E_F): 0.5429 states/eV/atom

---

The following is a DFT calculation (PBE-GGA) of crystalline NdAs4Pd6 at its relaxed geometry.

abc: 7.3915 7.3915 4.0744
angles: 90.00 90.00 120.00
Closest atoms and distances in Å follow each position.
Fractional positions:
Nd1 0.0000 0.0000 0.0000  6 As 3.16, 6 Pd 3.26
As1 0.3333 0.6667 0.0000  9 Pd 2.59-2.67
As2 0.3783 0.1891 0.5000  6 Pd 2.48-2.70
As3 0.8109 0.1891 0.5000  6 Pd 2.48-2.70
As4 0.8109 0.6217 0.5000  6 Pd 2.48-2.70
Pd1 0.1985 0.3970 0.5000  4 As 2.48-2.67
Pd2 0.1985 0.8015 0.5000  4 As 2.48-2.67
Pd3 0.5355 0.0710 0.0000  5 As 2.59-2.70
Pd4 0.5355 0.4645 0.0000  5 As 2.59-2.70
Pd5 0.6030 0.8015 0.5000  4 As 2.48-2.67
Pd6 0.9290 0.4645 0.0000  5 As 2.59-2.70

- ΔH_f (0 K): -0.577 eV/atom
- Energy: -60.869 eV/cell
- DOS(E_F): 0.5937 states/eV/atom

---

The following is a DFT calculation (PBE-GGA) of crystalline NdAs2Pd6 at its relaxed geometry.

abc: 4.2360 4.2360 8.8137
angles: 90.00 90.00 90.00
Closest atoms and distances in Å follow each position.
Fractional positions:
Nd1 0.0000 0.0000 0.0000  8 As 3.25, 8 Pd 3.31
As1 0.5000 0.5000 0.1435  4 Pd 2.47, 1 As 2.53
As2 0.5000 0.5000 0.8565  4 Pd 2.47, 1 As 2.53
Pd1 0.0000 0.0000 0.5000  12 Pd 2.82-3.00
Pd2 0.0000 0.5000 0.2879  2 As 2.47
Pd3 0.0000 0.5000 0.7121  2 As 2.47
Pd4 0.5000 0.0000 0.2879  2 As 2.47
Pd5 0.5000 0.0000 0.7121  2 As 2.47
Pd6 0.5000 0.5000 0.5000  12 Pd 2.82-3.00, 2 As 3.14

- ΔH_f (0 K): -0.515 eV/atom
- Energy: -49.860 eV/cell
- Energy above the lowest structure with this stoichiometry: 0.000 eV/atom
- DOS(E_F): 0.7580 states/eV/atom